A | Cr2FeNi: PBEsol geometry, meta-GGA SCAN.

```
Cr2FeNi
1.0
2.439 0.000 0.000
0.000 3.994 0.000
-0.005 0.000 4.343
Cr Fe Ni
2 1 1
direct
0.000 0.000 0.000
0.003 0.500 0.664
0.502 0.500 0.164
0.501 0.000 0.500
```

Output
Size of the total moment ... 0.78 μB/f.u.
Symmetry ... Pm

=====

B | Cr2FeNi: PBEsol geometry, meta-GGA SCAN.

```
Cr2FeNi
1.0
2.444 0.000 0.000
0.000 3.531 0.000
0.000 0.000 4.899
Cr Fe Ni
2 1 1
direct
0.000 0.000 0.239
0.000 0.000 0.761
0.500 0.500 0.000
0.500 0.500 0.500
```

Output
Size of the total moment ... 0.04 μB/f.u.
Symmetry ... Pmmm

=====

C | Cr2FeNi: PBEsol geometry, meta-GGA SCAN.

```
Cr2FeNi
1.0
2.927 0.000 0.000
0.000 3.806 0.000
0.000 0.000 7.753
Cr Fe Ni
4 2 2
direct
0.000 0.000 0.000
0.000 0.500 0.255
0.500 0.000 0.255
0.500 0.500 0.000
0.000 0.000 0.506
0.500 0.500 0.506
0.000 0.500 0.754
0.500 0.000 0.754
```

Output
Size of the total moment ... 2.51 μB/f.u.
Symmetry ... Cmm2

=====

D | Cr2FeNi: PBEsol geometry, meta-GGA SCAN.

```
Cr2FeNi
1.0
2.455 0.000 0.000
-1.228 2.126 0.000
0.000 0.000 24.422
Cr Fe Ni
6 3 3
direct
0.000 0.000 0.248
0.000 0.000 0.752
0.333 0.667 0.418
0.333 0.667 0.915
0.667 0.333 0.085
0.667 0.333 0.582
0.000 0.000 0.500
0.333 0.667 0.167
0.667 0.333 0.833
0.000 0.000 0.000
0.333 0.667 0.667
0.667 0.333 0.333
```

Output
Size of the total moment ... 0.00 μB/f.u.
Symmetry ... R-3m

=====

Computed stability ranking, most favorable first: C, B, A, D

=====

A | CrFeOs: PBEsol geometry, meta-GGA SCAN.

```
CrFeOs
1.0
3.969 0.000 0.000
-1.985 3.437 0.000
0.000 0.000 2.583
Cr Fe Os
1 1 1
direct
0.000 0.000 0.000
0.667 0.333 0.000
0.333 0.667 0.500
```

Output
Size of the total moment ... 0.58 μB/f.u.
Symmetry ... P-6m2

=====

B | CrFeOs: PBEsol geometry, meta-GGA SCAN.

```
CrFeOs
1.0
2.577 0.000 0.000
0.000 3.592 0.000
0.000 0.000 7.674
Cr Fe Os
2 2 2
direct
0.000 0.000 0.000
0.500 0.500 0.500
0.000 0.000 0.661
0.500 0.500 0.161
0.000 0.000 0.329
0.500 0.500 0.829
```

Output
Size of the total moment ... 2.06 μB/f.u.
Symmetry ... Imm2

=====

Computed stability ranking, most favorable first: A, B